Compound: TbGdTlPd
Source: Alexandria
Functional: PBE
Structure: relaxed

Properties
SG	No. 216
E_form	-0.534	eV per atom

```
data_TbGdTlPd
_chemical_formula_sum 'Tb1 Gd1 Tl1 Pd1'
_symmetry_space_group_name_H-M 'P 1'
_symmetry_Int_Tables_number 1
_cell_length_a 5.214
_cell_length_b 5.214
_cell_length_c 5.214
_cell_angle_alpha 60.00
_cell_angle_beta 60.00
_cell_angle_gamma 60.00
loop_
_symmetry_equiv_pos_as_xyz
'x,y,z'
loop_
_atom_site_label
_atom_site_type_symbol
_atom_site_fract_x
_atom_site_fract_y
_atom_site_fract_z
Tb1 Tb 0.250 0.250 0.250
Pd1 Pd 0.000 0.000 0.000
Gd1 Gd 0.750 0.750 0.750
Tl1 Tl 0.500 0.500 0.500
```

Compound: Gd2TcPd
Source: Alexandria
Functional: PBE
Structure: relaxed

Properties
SG	No. 123
E_form	-0.373	eV per atom

```
data_Gd2TcPd
_chemical_formula_sum 'Gd2 Tc1 Pd1'
_symmetry_space_group_name_H-M 'P 1'
_symmetry_Int_Tables_number 1
_cell_length_a 3.517
_cell_length_b 3.517
_cell_length_c 6.902
_cell_angle_alpha 90.00
_cell_angle_beta 90.00
_cell_angle_gamma 90.00
loop_
_symmetry_equiv_pos_as_xyz
'x,y,z'
loop_
_atom_site_label
_atom_site_type_symbol
_atom_site_fract_x
_atom_site_fract_y
_atom_site_fract_z
Tc1 Tc 0.500 0.500 0.000
Gd1 Gd 0.000 0.000 0.758
Gd2 Gd 0.000 0.000 0.242
Pd1 Pd 0.500 0.500 0.500
```

Compound: GdZrTcPd
Source: Alexandria
Functional: PBE
Structure: relaxed

Properties
SG	No. 216
E_form	-0.400	eV per atom

```
data_GdZrTcPd
_chemical_formula_sum 'Gd1 Zr1 Tc1 Pd1'
_symmetry_space_group_name_H-M 'P 1'
_symmetry_Int_Tables_number 1
_cell_length_a 4.805
_cell_length_b 4.805
_cell_length_c 4.805
_cell_angle_alpha 60.00
_cell_angle_beta 60.00
_cell_angle_gamma 60.00
loop_
_symmetry_equiv_pos_as_xyz
'x,y,z'
loop_
_atom_site_label
_atom_site_type_symbol
_atom_site_fract_x
_atom_site_fract_y
_atom_site_fract_z
Gd1 Gd 0.250 0.250 0.250
Tc1 Tc 0.500 0.500 0.500
Zr1 Zr 0.750 0.750 0.750
Pd1 Pd 0.000 0.000 0.000
```

Compound: GdTePd2
Source: Alexandria
Functional: PBE
Structure: relaxed

Properties
formation energy without anion corrections	-0.7328	eV/atom
energy above the lowest structure with this stoichiometry	0.03	eV/f.u.
SG	No. 225

```
data_GdTePd2
_chemical_formula_sum 'Gd1 Te1 Pd2'
_symmetry_space_group_name_H-M 'P 1'
_symmetry_Int_Tables_number 1
_cell_length_a 4.894
_cell_length_b 4.894
_cell_length_c 4.894
_cell_angle_alpha 60.00
_cell_angle_beta 60.00
_cell_angle_gamma 60.00
loop_
_symmetry_equiv_pos_as_xyz
'x,y,z'
loop_
_atom_site_label
_atom_site_type_symbol
_atom_site_fract_x
_atom_site_fract_y
_atom_site_fract_z
Te1 Te 0.500 0.500 0.500
Pd1 Pd 0.750 0.750 0.750
Pd2 Pd 0.250 0.250 0.250
Gd1 Gd 0.000 0.000 0.000
```

Compound: GdTe2Pd
Source: Alexandria
Functional: PBE
Structure: relaxed

Properties
formation energy without anion corrections	-0.7848	eV/atom
SG	No. 166

```
data_GdTe2Pd
_chemical_formula_sum 'Gd1 Te2 Pd1'
_symmetry_space_group_name_H-M 'P 1'
_symmetry_Int_Tables_number 1
_cell_length_a 4.428
_cell_length_b 4.428
_cell_length_c 6.854
_cell_angle_alpha 71.15
_cell_angle_beta 71.15
_cell_angle_gamma 60.00
loop_
_symmetry_equiv_pos_as_xyz
'x,y,z'
loop_
_atom_site_label
_atom_site_type_symbol
_atom_site_fract_x
_atom_site_fract_y
_atom_site_fract_z
Pd1 Pd 0.000 0.000 0.000
Te1 Te 0.741 0.741 0.776
Te2 Te 0.259 0.259 0.224
Gd1 Gd 0.500 0.500 0.500
```

Compound: GdTePd2
Source: Alexandria
Functional: PBE
Structure: relaxed

Properties
formation energy without anion corrections	-0.7400	eV/atom
energy above the lowest structure with this stoichiometry	0.00	eV/f.u.
SG	No. 123

```
data_GdTePd2
_chemical_formula_sum 'Gd1 Te1 Pd2'
_symmetry_space_group_name_H-M 'P 1'
_symmetry_Int_Tables_number 1
_cell_length_a 4.358
_cell_length_b 4.358
_cell_length_c 4.358
_cell_angle_alpha 90.00
_cell_angle_beta 90.00
_cell_angle_gamma 90.00
loop_
_symmetry_equiv_pos_as_xyz
'x,y,z'
loop_
_atom_site_label
_atom_site_type_symbol
_atom_site_fract_x
_atom_site_fract_y
_atom_site_fract_z
Te1 Te 0.500 0.000 0.000
Pd1 Pd 0.000 0.500 0.000
Pd2 Pd 0.000 0.000 0.500
Gd1 Gd 0.500 0.500 0.500
```

Compound: GdTePd4
Source: Alexandria
Functional: PBE
Structure: relaxed

Properties
formation energy without anion corrections	-0.5371	eV/atom
SG	No. 216

```
data_GdTePd4
_chemical_formula_sum 'Gd1 Te1 Pd4'
_symmetry_space_group_name_H-M 'P 1'
_symmetry_Int_Tables_number 1
_cell_length_a 5.443
_cell_length_b 5.443
_cell_length_c 5.443
_cell_angle_alpha 60.00
_cell_angle_beta 60.00
_cell_angle_gamma 60.00
loop_
_symmetry_equiv_pos_as_xyz
'x,y,z'
loop_
_atom_site_label
_atom_site_type_symbol
_atom_site_fract_x
_atom_site_fract_y
_atom_site_fract_z
Pd1 Pd 0.624 0.127 0.624
Pd2 Pd 0.127 0.624 0.624
Pd3 Pd 0.624 0.624 0.127
Pd4 Pd 0.624 0.624 0.624
Gd1 Gd 0.250 0.250 0.250
Te1 Te 0.000 0.000 0.000
```

Compound: GdTePd
Source: Alexandria
Functional: PBE
Structure: relaxed

Properties
formation energy without anion corrections	-0.8450	eV/atom
SG	No. 107

```
data_GdTePd
_chemical_formula_sum 'Gd1 Te1 Pd1'
_symmetry_space_group_name_H-M 'P 1'
_symmetry_Int_Tables_number 1
_cell_length_a 3.994
_cell_length_b 3.994
_cell_length_c 5.357
_cell_angle_alpha 111.89
_cell_angle_beta 111.89
_cell_angle_gamma 90.00
loop_
_symmetry_equiv_pos_as_xyz
'x,y,z'
loop_
_atom_site_label
_atom_site_type_symbol
_atom_site_fract_x
_atom_site_fract_y
_atom_site_fract_z
Pd1 Pd 0.939 0.939 0.878
Te1 Te 0.628 0.628 0.256
Gd1 Gd 0.283 0.283 0.566
```

Compound: GdTePd
Source: Alexandria
Functional: PBE
Structure: relaxed

Properties
formation energy without anion corrections	-1.0391	eV/atom
SG	No. 156

```
data_GdTePd
_chemical_formula_sum 'Gd1 Te1 Pd1'
_symmetry_space_group_name_H-M 'P 1'
_symmetry_Int_Tables_number 1
_cell_length_a 3.969
_cell_length_b 4.550
_cell_length_c 4.550
_cell_angle_alpha 120.00
_cell_angle_beta 90.00
_cell_angle_gamma 90.00
loop_
_symmetry_equiv_pos_as_xyz
'x,y,z'
loop_
_atom_site_label
_atom_site_type_symbol
_atom_site_fract_x
_atom_site_fract_y
_atom_site_fract_z
Pd1 Pd 0.160 0.000 0.000
Te1 Te 0.172 0.333 0.667
Gd1 Gd 0.669 0.667 0.333
```

Compound: Gd2ThPd
Source: Alexandria
Functional: PBE
Structure: relaxed

Properties
energy above the lowest structure with this stoichiometry	1.78	eV/f.u.
SG	No. 166
E_form	0.061	eV per atom

```
data_Gd2ThPd
_chemical_formula_sum 'Gd2 Th1 Pd1'
_symmetry_space_group_name_H-M 'P 1'
_symmetry_Int_Tables_number 1
_cell_length_a 3.464
_cell_length_b 3.464
_cell_length_c 11.172
_cell_angle_alpha 81.08
_cell_angle_beta 81.08
_cell_angle_gamma 60.00
loop_
_symmetry_equiv_pos_as_xyz
'x,y,z'
loop_
_atom_site_label
_atom_site_type_symbol
_atom_site_fract_x
_atom_site_fract_y
_atom_site_fract_z
Th1 Th 0.500 0.500 0.500
Gd1 Gd 0.080 0.080 0.760
Gd2 Gd 0.920 0.920 0.240
Pd1 Pd 0.000 0.000 0.000
```

Compound: Gd2ThPd
Source: Alexandria
Functional: PBE
Structure: relaxed

Properties
energy above the lowest structure with this stoichiometry	0.00	eV/f.u.
SG	No. 123
E_form	-0.384	eV per atom

```
data_Gd2ThPd
_chemical_formula_sum 'Gd2 Th1 Pd1'
_symmetry_space_group_name_H-M 'P 1'
_symmetry_Int_Tables_number 1
_cell_length_a 3.590
_cell_length_b 3.590
_cell_length_c 8.406
_cell_angle_alpha 90.00
_cell_angle_beta 90.00
_cell_angle_gamma 90.00
loop_
_symmetry_equiv_pos_as_xyz
'x,y,z'
loop_
_atom_site_label
_atom_site_type_symbol
_atom_site_fract_x
_atom_site_fract_y
_atom_site_fract_z
Gd1 Gd 0.000 0.000 0.796
Gd2 Gd 0.000 0.000 0.204
Th1 Th 0.500 0.500 0.500
Pd1 Pd 0.500 0.500 0.000
```

Compound: GdThZnPd
Source: Alexandria
Functional: PBE
Structure: relaxed

Properties
SG	No. 216
E_form	-0.456	eV per atom

```
data_GdThZnPd
_chemical_formula_sum 'Gd1 Th1 Zn1 Pd1'
_symmetry_space_group_name_H-M 'P 1'
_symmetry_Int_Tables_number 1
_cell_length_a 5.119
_cell_length_b 5.119
_cell_length_c 5.119
_cell_angle_alpha 60.00
_cell_angle_beta 60.00
_cell_angle_gamma 60.00
loop_
_symmetry_equiv_pos_as_xyz
'x,y,z'
loop_
_atom_site_label
_atom_site_type_symbol
_atom_site_fract_x
_atom_site_fract_y
_atom_site_fract_z
Pd1 Pd 0.500 0.500 0.500
Zn1 Zn 0.000 0.000 0.000
Gd1 Gd 0.250 0.250 0.250
Th1 Th 0.750 0.750 0.750
```